Density functional theory data (GGA-PBE) for an optimized crystal structure of Th2CoC.

Unit cell a=11.1473 b=11.1473 c=3.8114 alpha=90.00 beta=90.00 gamma=160.41
Atoms (fractional coordinates):
Th (0.0727, 0.9273, 0.7500)
Th (0.3081, 0.6919, 0.7500)
Th (0.6919, 0.3081, 0.2500)
Th (0.9273, 0.0727, 0.2500)
Co (0.4582, 0.5418, 0.7500)
Co (0.5418, 0.4582, 0.2500)
C (0.1897, 0.8103, 0.7500)
C (0.8103, 0.1897, 0.2500)

Output
- formation energy from the elements (meV per atom) = -327.3
- raw total energy (eV per atom) = -8.1197
- magnetic moment (μB per formula unit) = 0.000